(1)
# SiSbF3 | Alexandria via LeMat-Bulk | PBE | optimized geometry
# Polymorph energy (0 for the lowest one): 0.096 eV/atom
# E_tot: -3.974 eV per atom
data_SiSbF3
_cell_length_a 4.5445
_cell_length_b 4.5445
_cell_length_c 4.5445
_cell_angle_alpha 90.00
_cell_angle_beta 90.00
_cell_angle_gamma 90.00
_symmetry_space_group_name_H-M 'P 1'
_symmetry_Int_Tables_number 1
_symmetry_space_group_name_Hall 'P 1'
loop_
_atom_site_label
_atom_site_type_symbol
_atom_site_fract_x
_atom_site_fract_y
_atom_site_fract_z
F1 F 0.0000 0.0000 0.5000
F2 F 0.5000 0.0000 0.0000
F3 F 0.0000 0.5000 0.0000
Si1 Si 0.5000 0.5000 0.5000
Sb1 Sb 0.0000 0.0000 0.0000

***

(2)
# SiSb3F | Alexandria via LeMat-Bulk | PBE | optimized geometry
# Polymorph energy (0 for the lowest one): 0.000 eV/atom
# E_tot: -3.735 eV per atom
data_SiSb3F
_cell_length_a 4.9142
_cell_length_b 4.9142
_cell_length_c 4.9142
_cell_angle_alpha 90.00
_cell_angle_beta 90.00
_cell_angle_gamma 90.00
_symmetry_space_group_name_H-M 'P 1'
_symmetry_Int_Tables_number 1
_symmetry_space_group_name_Hall 'P 1'
loop_
_atom_site_label
_atom_site_type_symbol
_atom_site_fract_x
_atom_site_fract_y
_atom_site_fract_z
Si1 Si 0.5000 0.5000 0.5000
F1 F 0.0000 0.0000 0.0000
Sb1 Sb 0.5000 0.0000 0.0000
Sb2 Sb 0.0000 0.5000 0.0000
Sb3 Sb 0.0000 0.0000 0.5000

***

(3)
# SiSbF2 | Alexandria via LeMat-Bulk | PBE | optimized geometry
# Polymorph energy (0 for the lowest one): 0.000 eV/atom
# E_tot: -4.584 eV per atom
data_SiSbF2
_cell_length_a 9.8792
_cell_length_b 9.8792
_cell_length_c 9.8792
_cell_angle_alpha 17.39
_cell_angle_beta 17.39
_cell_angle_gamma 17.39
_symmetry_space_group_name_H-M 'P 1'
_symmetry_Int_Tables_number 1
_symmetry_space_group_name_Hall 'P 1'
loop_
_atom_site_label
_atom_site_type_symbol
_atom_site_fract_x
_atom_site_fract_y
_atom_site_fract_z
Si1 Si 0.0000 0.0000 0.0000
F1 F 0.0567 0.0567 0.0567
F2 F 0.9433 0.9433 0.9433
Sb1 Sb 0.5000 0.5000 0.5000

***

(4)
# SiSbF | Alexandria via LeMat-Bulk | PBE | optimized geometry
# E_tot: -4.898 eV per atom
data_SiSbF
_cell_length_a 5.1290
_cell_length_b 5.2069
_cell_length_c 6.0438
_cell_angle_alpha 79.78
_cell_angle_beta 99.86
_cell_angle_gamma 81.15
_symmetry_space_group_name_H-M 'P 1'
_symmetry_Int_Tables_number 1
_symmetry_space_group_name_Hall 'P 1'
loop_
_atom_site_label
_atom_site_type_symbol
_atom_site_fract_x
_atom_site_fract_y
_atom_site_fract_z
Si1 Si 0.6725 0.7897 0.6928
Si2 Si 0.9852 0.0254 0.8610
F1 F 0.7440 0.7166 0.4528
F2 F 0.1797 0.8556 0.1051
Sb1 Sb 0.6069 0.3624 0.9635
Sb2 Sb 0.2805 0.2131 0.5795

***

(5)
# SiSbF2 | Alexandria via LeMat-Bulk | PBE | optimized geometry
# Polymorph energy (0 for the lowest one): 0.310 eV/atom
# E_tot: -4.273 eV per atom
data_SiSbF2
_cell_length_a 9.0479
_cell_length_b 9.0479
_cell_length_c 9.0479
_cell_angle_alpha 21.16
_cell_angle_beta 21.16
_cell_angle_gamma 21.16
_symmetry_space_group_name_H-M 'P 1'
_symmetry_Int_Tables_number 1
_symmetry_space_group_name_Hall 'P 1'
loop_
_atom_site_label
_atom_site_type_symbol
_atom_site_fract_x
_atom_site_fract_y
_atom_site_fract_z
F1 F 0.7926 0.7926 0.7926
F2 F 0.2074 0.2074 0.2074
Si1 Si 0.5000 0.5000 0.5000
Sb1 Sb 0.0000 0.0000 0.0000

***

(6)
# Si3SbF | Alexandria via LeMat-Bulk | PBE | optimized geometry
# Polymorph energy (0 for the lowest one): 0.736 eV/atom
# E_tot: -3.315 eV per atom
data_Si3SbF
_cell_length_a 5.2679
_cell_length_b 5.2679
_cell_length_c 5.2679
_cell_angle_alpha 90.00
_cell_angle_beta 90.00
_cell_angle_gamma 90.00
_symmetry_space_group_name_H-M 'P 1'
_symmetry_Int_Tables_number 1
_symmetry_space_group_name_Hall 'P 1'
loop_
_atom_site_label
_atom_site_type_symbol
_atom_site_fract_x
_atom_site_fract_y
_atom_site_fract_z
Si1 Si 0.5000 0.0000 0.0000
Si2 Si 0.0000 0.0000 0.5000
Si3 Si 0.0000 0.5000 0.0000
F1 F 0.5000 0.5000 0.5000
Sb1 Sb 0.0000 0.0000 0.0000

***

(7)
# SiSbF3 | Alexandria via LeMat-Bulk | PBE | optimized geometry
# Polymorph energy (0 for the lowest one): 0.000 eV/atom
# E_tot: -4.070 eV per atom
data_SiSbF3
_cell_length_a 4.3638
_cell_length_b 4.3638
_cell_length_c 4.3638
_cell_angle_alpha 90.00
_cell_angle_beta 90.00
_cell_angle_gamma 90.00
_symmetry_space_group_name_H-M 'P 1'
_symmetry_Int_Tables_number 1
_symmetry_space_group_name_Hall 'P 1'
loop_
_atom_site_label
_atom_site_type_symbol
_atom_site_fract_x
_atom_site_fract_y
_atom_site_fract_z
F1 F 0.5000 0.0000 0.0000
F2 F 0.0000 0.0000 0.5000
F3 F 0.0000 0.5000 0.0000
Sb1 Sb 0.5000 0.5000 0.5000
Si1 Si 0.0000 0.0000 0.0000

***

(8)
# SiSbF2 | Alexandria via LeMat-Bulk | PBE | optimized geometry
# Polymorph energy (0 for the lowest one): 0.747 eV/atom
# E_tot: -3.836 eV per atom
data_SiSbF2
_cell_length_a 4.4553
_cell_length_b 4.4553
_cell_length_c 4.4553
_cell_angle_alpha 60.00
_cell_angle_beta 60.00
_cell_angle_gamma 60.00
_symmetry_space_group_name_H-M 'P 1'
_symmetry_Int_Tables_number 1
_symmetry_space_group_name_Hall 'P 1'
loop_
_atom_site_label
_atom_site_type_symbol
_atom_site_fract_x
_atom_site_fract_y
_atom_site_fract_z
Si1 Si 0.0000 0.0000 0.0000
Sb1 Sb 0.5000 0.5000 0.5000
F1 F 0.2500 0.2500 0.2500
F2 F 0.7500 0.7500 0.7500

***

(9)
# Si3SbF | Alexandria via LeMat-Bulk | PBE | optimized geometry
# Polymorph energy (0 for the lowest one): 0.000 eV/atom
# E_tot: -4.051 eV per atom
data_Si3SbF
_cell_length_a 4.5392
_cell_length_b 4.5392
_cell_length_c 4.5392
_cell_angle_alpha 90.00
_cell_angle_beta 90.00
_cell_angle_gamma 90.00
_symmetry_space_group_name_H-M 'P 1'
_symmetry_Int_Tables_number 1
_symmetry_space_group_name_Hall 'P 1'
loop_
_atom_site_label
_atom_site_type_symbol
_atom_site_fract_x
_atom_site_fract_y
_atom_site_fract_z
F1 F 0.0000 0.0000 0.0000
Si1 Si 0.0000 0.5000 0.0000
Si2 Si 0.0000 0.0000 0.5000
Si3 Si 0.5000 0.0000 0.0000
Sb1 Sb 0.5000 0.5000 0.5000

***

(10)
# SiSbF2 | Alexandria via LeMat-Bulk | PBE | optimized geometry
# Polymorph energy (0 for the lowest one): 0.233 eV/atom
# E_tot: -4.350 eV per atom
data_SiSbF2
_cell_length_a 3.9401
_cell_length_b 3.9401
_cell_length_c 8.5313
_cell_angle_alpha 76.65
_cell_angle_beta 76.65
_cell_angle_gamma 90.00
_symmetry_space_group_name_H-M 'P 1'
_symmetry_Int_Tables_number 1
_symmetry_space_group_name_Hall 'P 1'
loop_
_atom_site_label
_atom_site_type_symbol
_atom_site_fract_x
_atom_site_fract_y
_atom_site_fract_z
F1 F 0.6223 0.1250 0.2500
F2 F 0.3750 0.3777 0.7500
F3 F 0.1277 0.6250 0.2500
F4 F 0.8750 0.8723 0.7500
Si1 Si 0.2500 0.7500 0.5000
Si2 Si 0.5000 0.5000 0.0000
Sb1 Sb 0.0000 0.0000 0.0000
Sb2 Sb 0.7500 0.2500 0.5000

***

(11)
# SiSbTe2F | Alexandria via LeMat-Bulk | PBE | optimized geometry
# Polymorph energy (0 for the lowest one): 0.000 eV/atom
# E_tot: -3.298 eV per atom
data_SiSbTe2F
_cell_length_a 5.4136
_cell_length_b 5.4136
_cell_length_c 4.3434
_cell_angle_alpha 90.00
_cell_angle_beta 90.00
_cell_angle_gamma 90.00
_symmetry_space_group_name_H-M 'P 1'
_symmetry_Int_Tables_number 1
_symmetry_space_group_name_Hall 'P 1'
loop_
_atom_site_label
_atom_site_type_symbol
_atom_site_fract_x
_atom_site_fract_y
_atom_site_fract_z
F1 F 0.0000 0.0000 0.0000
Te1 Te 0.0000 0.5000 0.0000
Te2 Te 0.5000 0.0000 0.0000
Si1 Si 0.5000 0.5000 0.5000
Sb1 Sb 0.0000 0.0000 0.5000

***

(12)
# SiSb2TeF | Alexandria via LeMat-Bulk | PBE | optimized geometry
# Polymorph energy (0 for the lowest one): 0.000 eV/atom
# E_tot: -3.522 eV per atom
data_SiSb2TeF
_cell_length_a 4.7311
_cell_length_b 4.7311
_cell_length_c 5.4457
_cell_angle_alpha 90.00
_cell_angle_beta 90.00
_cell_angle_gamma 90.00
_symmetry_space_group_name_H-M 'P 1'
_symmetry_Int_Tables_number 1
_symmetry_space_group_name_Hall 'P 1'
loop_
_atom_site_label
_atom_site_type_symbol
_atom_site_fract_x
_atom_site_fract_y
_atom_site_fract_z
Sb1 Sb 0.5000 0.0000 0.0000
Sb2 Sb 0.0000 0.5000 0.0000
Si1 Si 0.5000 0.5000 0.5000
F1 F 0.0000 0.0000 0.0000
Te1 Te 0.0000 0.0000 0.5000

***

(13)
# ZnSiSbF2 | Alexandria via LeMat-Bulk | PBE | optimized geometry
# E_tot: -3.779 eV per atom
data_ZnSiSbF2
_cell_length_a 3.9587
_cell_length_b 5.4164
_cell_length_c 3.9587
_cell_angle_alpha 90.00
_cell_angle_beta 90.00
_cell_angle_gamma 90.00
_symmetry_space_group_name_H-M 'P 1'
_symmetry_Int_Tables_number 1
_symmetry_space_group_name_Hall 'P 1'
loop_
_atom_site_label
_atom_site_type_symbol
_atom_site_fract_x
_atom_site_fract_y
_atom_site_fract_z
Si1 Si 0.0000 0.0000 0.0000
F1 F 0.0000 0.0000 0.5000
F2 F 0.5000 0.0000 0.0000
Zn1 Zn 0.0000 0.5000 0.0000
Sb1 Sb 0.5000 0.5000 0.5000

***

(14)
# Sm2SbF3 | Alexandria via LeMat-Bulk | PBE | optimized geometry
# E_tot: -6.219 eV per atom
data_Sm2SbF3
_cell_length_a 4.0603
_cell_length_b 7.8402
_cell_length_c 7.9867
_cell_angle_alpha 113.69
_cell_angle_beta 90.00
_cell_angle_gamma 105.01
_symmetry_space_group_name_H-M 'P 1'
_symmetry_Int_Tables_number 1
_symmetry_space_group_name_Hall 'P 1'
loop_
_atom_site_label
_atom_site_type_symbol
_atom_site_fract_x
_atom_site_fract_y
_atom_site_fract_z
F1 F 0.9390 0.8779 0.5898
F2 F 0.6915 0.3831 0.4559
F3 F 0.3996 0.7992 0.3398
F4 F 0.3085 0.6169 0.5441
F5 F 0.0610 0.1221 0.4102
F6 F 0.6004 0.2008 0.6602
Sm1 Sm 0.1998 0.3996 0.6935
Sm2 Sm 0.8002 0.6004 0.3065
Sm3 Sm 0.5271 0.0543 0.2429
Sm4 Sm 0.4729 0.9457 0.7571
Sb1 Sb 0.8651 0.7301 0.9538
Sb2 Sb 0.1349 0.2699 0.0462